A:
Below is a geometry-optimized Cd5Ga2Au12 structure, with properties calculated at the GGA-PBE level.

## Properties
total magnetic moment = 0.0 μB per formula unit

Structure (CIF):
```
data_Cd5Ga2Au12
_chemical_formula_sum 'Cd5 Ga2 Au12'
_symmetry_space_group_name_H-M 'P 1'
_symmetry_Int_Tables_number 1
_cell_length_a 7.993
_cell_length_b 7.993
_cell_length_c 6.672
_cell_angle_alpha 90.02
_cell_angle_beta 90.02
_cell_angle_gamma 58.68
loop_
_symmetry_equiv_pos_as_xyz
'x,y,z'
loop_
_atom_site_label
_atom_site_type_symbol
_atom_site_fract_x
_atom_site_fract_y
_atom_site_fract_z
Cd1 Cd 0.000 0.000 0.000
Cd2 Cd 0.241 0.241 0.922
Cd3 Cd 0.301 0.301 0.479
Cd4 Cd 0.699 0.699 0.521
Cd5 Cd 0.759 0.759 0.078
Ga1 Ga 0.281 0.719 0.500
Ga2 Ga 0.719 0.281 0.500
Au1 Au 0.029 0.651 0.741
Au2 Au 0.095 0.095 0.609
Au3 Au 0.185 0.584 0.151
Au4 Au 0.349 0.971 0.259
Au5 Au 0.416 0.815 0.849
Au6 Au 0.446 0.446 0.788
Au7 Au 0.554 0.554 0.212
Au8 Au 0.584 0.185 0.151
Au9 Au 0.651 0.029 0.741
Au10 Au 0.815 0.416 0.849
Au11 Au 0.905 0.905 0.391
Au12 Au 0.971 0.349 0.259
```



B:
Below is a geometry-optimized Cd5Ga2Au12 structure, with properties calculated at the GGA-PBE level.

## Properties
total magnetic moment = 0.0 μB per formula unit

Structure (CIF):
```
data_Cd5Ga2Au12
_chemical_formula_sum 'Cd5 Ga2 Au12'
_symmetry_space_group_name_H-M 'P 1'
_symmetry_Int_Tables_number 1
_cell_length_a 7.821
_cell_length_b 7.821
_cell_length_c 8.769
_cell_angle_alpha 123.80
_cell_angle_beta 123.80
_cell_angle_gamma 70.70
loop_
_symmetry_equiv_pos_as_xyz
'x,y,z'
loop_
_atom_site_label
_atom_site_type_symbol
_atom_site_fract_x
_atom_site_fract_y
_atom_site_fract_z
Cd1 Cd 0.000 0.000 0.000
Cd2 Cd 0.254 0.254 0.440
Cd3 Cd 0.334 0.334 0.866
Cd4 Cd 0.666 0.666 0.134
Cd5 Cd 0.746 0.746 0.560
Ga1 Ga 0.244 0.756 0.500
Ga2 Ga 0.756 0.244 0.500
Au1 Au 0.023 0.423 0.124
Au2 Au 0.046 0.046 0.710
Au3 Au 0.187 0.654 0.736
Au4 Au 0.346 0.813 0.264
Au5 Au 0.423 0.023 0.124
Au6 Au 0.442 0.442 0.283
Au7 Au 0.558 0.558 0.717
Au8 Au 0.577 0.977 0.876
Au9 Au 0.654 0.187 0.736
Au10 Au 0.813 0.346 0.264
Au11 Au 0.954 0.954 0.290
Au12 Au 0.977 0.577 0.876
```



Which one sits at the bottom of the stability order? B does.



A:
Below is a geometry-optimized CdGaAu3 structure, with properties calculated at the GGA-PBE level.

## Properties
total magnetic moment = 0.0 μB per formula unit

Structure (CIF):
```
data_CdGaAu3
_chemical_formula_sum 'Cd1 Ga1 Au3'
_symmetry_space_group_name_H-M 'P 1'
_symmetry_Int_Tables_number 1
_cell_length_a 4.896
_cell_length_b 4.896
_cell_length_c 4.896
_cell_angle_alpha 90.00
_cell_angle_beta 90.00
_cell_angle_gamma 90.00
loop_
_symmetry_equiv_pos_as_xyz
'x,y,z'
loop_
_atom_site_label
_atom_site_type_symbol
_atom_site_fract_x
_atom_site_fract_y
_atom_site_fract_z
Cd1 Cd 0.000 0.000 0.000
Ga1 Ga 0.500 0.500 0.500
Au1 Au 0.000 0.500 0.500
Au2 Au 0.500 0.000 0.500
Au3 Au 0.500 0.500 0.000
```



B:
Below is a geometry-optimized CdGaAu3 structure, with properties calculated at the GGA-PBE level.

## Properties
total magnetic moment = 0.0 μB per formula unit

Structure (CIF):
```
data_CdGaAu3
_chemical_formula_sum 'Cd2 Ga2 Au6'
_symmetry_space_group_name_H-M 'P 1'
_symmetry_Int_Tables_number 1
_cell_length_a 5.905
_cell_length_b 5.905
_cell_length_c 5.905
_cell_angle_alpha 80.95
_cell_angle_beta 80.95
_cell_angle_gamma 80.95
loop_
_symmetry_equiv_pos_as_xyz
'x,y,z'
loop_
_atom_site_label
_atom_site_type_symbol
_atom_site_fract_x
_atom_site_fract_y
_atom_site_fract_z
Cd1 Cd 0.250 0.250 0.250
Cd2 Cd 0.750 0.750 0.750
Ga1 Ga 0.000 0.000 0.000
Ga2 Ga 0.500 0.500 0.500
Au1 Au 0.127 0.750 0.373
Au2 Au 0.250 0.627 0.873
Au3 Au 0.373 0.127 0.750
Au4 Au 0.627 0.873 0.250
Au5 Au 0.750 0.373 0.127
Au6 Au 0.873 0.250 0.627
```



C:
Below is a geometry-optimized CdGaAu3 structure, with properties calculated at the GGA-PBE level.

## Properties
total magnetic moment = 0.0 μB per formula unit

Structure (CIF):
```
data_CdGaAu3
_chemical_formula_sum 'Cd4 Ga4 Au12'
_symmetry_space_group_name_H-M 'P 1'
_symmetry_Int_Tables_number 1
_cell_length_a 7.915
_cell_length_b 5.206
_cell_length_c 10.199
_cell_angle_alpha 90.00
_cell_angle_beta 115.75
_cell_angle_gamma 90.00
loop_
_symmetry_equiv_pos_as_xyz
'x,y,z'
loop_
_atom_site_label
_atom_site_type_symbol
_atom_site_fract_x
_atom_site_fract_y
_atom_site_fract_z
Cd1 Cd 0.127 0.233 0.092
Cd2 Cd 0.127 0.267 0.592
Cd3 Cd 0.873 0.733 0.408
Cd4 Cd 0.873 0.767 0.908
Ga1 Ga 0.431 0.637 0.837
Ga2 Ga 0.431 0.863 0.337
Ga3 Ga 0.569 0.137 0.663
Ga4 Ga 0.569 0.363 0.163
Au1 Au 0.071 0.734 0.228
Au2 Au 0.071 0.766 0.728
Au3 Au 0.296 0.716 0.062
Au4 Au 0.296 0.784 0.562
Au5 Au 0.329 0.171 0.911
Au6 Au 0.329 0.329 0.411
Au7 Au 0.671 0.671 0.589
Au8 Au 0.671 0.829 0.089
Au9 Au 0.704 0.216 0.438
Au10 Au 0.704 0.284 0.938
Au11 Au 0.929 0.234 0.272
Au12 Au 0.929 0.266 0.772
```



Which one sits at the bottom of the stability order? A does.



A:
Below is a geometry-optimized Cd3GaAu4 structure, with properties calculated at the GGA-PBE level.

## Properties
total magnetic moment = 0.0 μB per formula unit

Structure (CIF):
```
data_Cd3GaAu4
_chemical_formula_sum 'Cd3 Ga1 Au4'
_symmetry_space_group_name_H-M 'P 1'
_symmetry_Int_Tables_number 1
_cell_length_a 6.303
_cell_length_b 6.303
_cell_length_c 6.303
_cell_angle_alpha 124.54
_cell_angle_beta 80.79
_cell_angle_gamma 126.37
loop_
_symmetry_equiv_pos_as_xyz
'x,y,z'
loop_
_atom_site_label
_atom_site_type_symbol
_atom_site_fract_x
_atom_site_fract_y
_atom_site_fract_z
Cd1 Cd 0.000 0.000 0.000
Cd2 Cd 0.044 0.763 0.281
Cd3 Cd 0.482 0.763 0.719
Ga1 Ga 0.912 0.412 0.500
Au1 Au 0.025 0.268 0.757
Au2 Au 0.512 0.268 0.243
Au3 Au 0.517 0.278 0.760
Au4 Au 0.517 0.757 0.240
```



B:
Below is a geometry-optimized Cd3GaAu4 structure, with properties calculated at the GGA-PBE level.

## Properties
total magnetic moment = 0.0 μB per formula unit

Structure (CIF):
```
data_Cd3GaAu4
_chemical_formula_sum 'Cd12 Ga4 Au16'
_symmetry_space_group_name_H-M 'P 1'
_symmetry_Int_Tables_number 1
_cell_length_a 11.308
_cell_length_b 9.795
_cell_length_c 5.760
_cell_angle_alpha 90.00
_cell_angle_beta 90.00
_cell_angle_gamma 90.00
loop_
_symmetry_equiv_pos_as_xyz
'x,y,z'
loop_
_atom_site_label
_atom_site_type_symbol
_atom_site_fract_x
_atom_site_fract_y
_atom_site_fract_z
Cd1 Cd 0.024 0.250 0.134
Cd2 Cd 0.156 0.008 0.343
Cd3 Cd 0.156 0.492 0.343
Cd4 Cd 0.344 0.508 0.843
Cd5 Cd 0.344 0.992 0.843
Cd6 Cd 0.476 0.750 0.634
Cd7 Cd 0.524 0.250 0.366
Cd8 Cd 0.656 0.008 0.157
Cd9 Cd 0.656 0.492 0.157
Cd10 Cd 0.844 0.508 0.657
Cd11 Cd 0.844 0.992 0.657
Cd12 Cd 0.976 0.750 0.866
Ga1 Ga 0.211 0.250 0.686
Ga2 Ga 0.289 0.750 0.186
Ga3 Ga 0.711 0.250 0.814
Ga4 Ga 0.789 0.750 0.314
Au1 Au 0.052 0.750 0.359
Au2 Au 0.091 0.024 0.825
Au3 Au 0.091 0.476 0.825
Au4 Au 0.218 0.750 0.741
Au5 Au 0.282 0.250 0.241
Au6 Au 0.409 0.524 0.325
Au7 Au 0.409 0.976 0.325
Au8 Au 0.448 0.250 0.859
Au9 Au 0.552 0.750 0.141
Au10 Au 0.591 0.024 0.675
Au11 Au 0.591 0.476 0.675
Au12 Au 0.718 0.750 0.759
Au13 Au 0.782 0.250 0.259
Au14 Au 0.909 0.524 0.175
Au15 Au 0.909 0.976 0.175
Au16 Au 0.948 0.250 0.641
```



Which one sits at the bottom of the stability order? A does.